AcPr2TaN4 | PBE-GGA | relaxed

Summary:
Raw formation energy: -1.116 eV/atom
Calculated volume: 17.86 Å³ per atom
Final energy: -0.3112 Ha/atom

Cell: 6.591 6.591 12.635 Å, 90.00 90.00 148.62°
Atoms (fractional coordinates):
Ac 0.092 0.908 0.750
Ac 0.908 0.092 0.250
Pr 0.370 0.630 0.535
Pr 0.370 0.630 0.965
Pr 0.630 0.370 0.035
Pr 0.630 0.370 0.465
Ta 0.170 0.830 0.250
Ta 0.830 0.170 0.750
N 0.000 0.000 0.000
N 0.000 0.000 0.500
N 0.266 0.734 0.131
N 0.266 0.734 0.369
N 0.418 0.582 0.750
N 0.582 0.418 0.250
N 0.734 0.266 0.631
N 0.734 0.266 0.869

***

AcPrTaN4 | PBE-GGA | relaxed

Summary:
Raw formation energy: -1.109 eV/atom
Calculated volume: 15.53 Å³ per atom
Final energy: -0.3245 Ha/atom

Cell: 7.077 7.077 5.798 Å, 90.00 90.00 131.50°
Atoms (fractional coordinates):
Ac 0.104 0.896 0.750
Ac 0.896 0.104 0.250
Pr 0.392 0.608 0.750
Pr 0.608 0.392 0.250
Ta 0.254 0.746 0.250
Ta 0.746 0.254 0.750
N 0.000 0.500 0.000
N 0.000 0.500 0.500
N 0.088 0.912 0.250
N 0.418 0.582 0.250
N 0.500 0.000 0.000
N 0.500 0.000 0.500
N 0.582 0.418 0.750
N 0.912 0.088 0.750

***

Ac3Pr4TaN8 | PBE-GGA | relaxed

Summary:
Raw formation energy: -1.088 eV/atom
Calculated volume: 17.67 Å³ per atom
Final energy: -0.2924 Ha/atom

Cell: 7.341 7.341 7.341 Å, 60.47 60.47 60.47°
Atoms (fractional coordinates):
Ac 0.000 0.500 0.500
Ac 0.500 0.000 0.500
Ac 0.500 0.500 0.000
Pr 0.000 0.000 0.500
Pr 0.000 0.500 0.000
Pr 0.500 0.000 0.000
Pr 0.500 0.500 0.500
Ta 0.000 0.000 0.000
N 0.213 0.781 0.781
N 0.219 0.219 0.787
N 0.219 0.787 0.219
N 0.245 0.245 0.245
N 0.755 0.755 0.755
N 0.781 0.213 0.781
N 0.781 0.781 0.213
N 0.787 0.219 0.219

***

Ac3Pr2TaN6 | PBE-GGA | relaxed

Summary:
Raw formation energy: -1.117 eV/atom
Calculated volume: 17.38 Å³ per atom
Final energy: -0.2974 Ha/atom

Cell: 6.318 6.318 6.376 Å, 99.34 99.34 119.99°
Atoms (fractional coordinates):
Ac 0.000 0.000 0.000
Ac 0.334 0.666 0.000
Ac 0.666 0.334 0.000
Pr 0.167 0.833 0.500
Pr 0.833 0.167 0.500
Ta 0.500 0.500 0.500
N 0.143 0.430 0.292
N 0.282 0.282 0.721
N 0.430 0.143 0.292
N 0.570 0.857 0.708
N 0.718 0.718 0.279
N 0.857 0.570 0.708

***

Ac2Pr3TaN6 | PBE-GGA | relaxed

Summary:
Raw formation energy: -1.134 eV/atom
Calculated volume: 17.15 Å³ per atom
Final energy: -0.3000 Ha/atom

Cell: 6.391 6.391 6.201 Å, 99.54 99.54 120.46°
Atoms (fractional coordinates):
Ac 0.168 0.832 0.000
Ac 0.832 0.168 0.000
Pr 0.000 0.000 0.500
Pr 0.342 0.658 0.500
Pr 0.658 0.342 0.500
Ta 0.500 0.500 0.000
N 0.147 0.425 0.779
N 0.288 0.288 0.236
N 0.425 0.147 0.779
N 0.575 0.853 0.221
N 0.712 0.712 0.764
N 0.853 0.575 0.221

***

AcPrTcN4 | PBE-GGA | relaxed

Summary:
Raw formation energy: -0.715 eV/atom
Calculated volume: 17.02 Å³ per atom
Final energy: -0.3022 Ha/atom

Cell: 6.062 5.804 7.183 Å, 90.00 109.43 90.00°
Atoms (fractional coordinates):
Ac 0.201 0.250 0.037
Ac 0.799 0.750 0.963
Pr 0.282 0.250 0.565
Pr 0.718 0.750 0.435
Tc 0.247 0.750 0.787
Tc 0.753 0.250 0.213
N 0.040 0.505 0.729
N 0.040 0.995 0.729
N 0.403 0.750 0.058
N 0.445 0.750 0.637
N 0.555 0.250 0.363
N 0.597 0.250 0.942
N 0.960 0.005 0.271
N 0.960 0.495 0.271